Record 1
# Zn2CoHg2, optimized geometry, DFT GGA-PBE
# Crystal system: tetragonal
# Formation enthalpy at 0 K, kJ/mol of formula units: 179
data_Zn2CoHg2
_chemical_formula_sum 'Zn4 Co2 Hg4'
_cell_length_a 6.545
_cell_length_b 6.545
_cell_length_c 4.197
_cell_angle_alpha 90.00
_cell_angle_beta 90.00
_cell_angle_gamma 90.00
_space_group_name_H-M_alt 'P 4/m b m'
_space_group_IT_number 127
_space_group_name_Hall '-P 4 2ab'
loop_
_atom_site_label
_atom_site_fract_x
_atom_site_fract_y
_atom_site_fract_z
Zn1 0.141 0.359 0.000
Co1 0.000 0.000 0.000
Hg1 0.175 0.675 0.500

***

Record 2
# KCuHg2, optimized geometry, DFT GGA-PBE
# Crystal system: monoclinic
# Formation enthalpy at 0 K, kJ/mol of formula units: -23
data_KCuHg2
_chemical_formula_sum 'K2 Cu2 Hg4'
_cell_length_a 5.823
_cell_length_b 4.426
_cell_length_c 8.534
_cell_angle_alpha 90.00
_cell_angle_beta 94.33
_cell_angle_gamma 90.00
_space_group_name_H-M_alt 'P 1 m 1'
_space_group_IT_number 6
_space_group_name_Hall 'P -2y'
loop_
_atom_site_label
_atom_site_fract_x
_atom_site_fract_y
_atom_site_fract_z
K1 0.000 0.000 0.000
K2 0.466 0.000 0.638
Cu1 0.738 0.500 0.354
Cu2 0.942 0.000 0.408
Hg1 0.212 0.500 0.339
Hg2 0.507 0.500 0.962
Hg3 0.527 0.000 0.228
Hg4 0.949 0.500 0.655

***

In order of appearance, energy = -8.40; -6.03 eV per formula unit.